{"formula": "Ho12H5Pb3", "functional": "PBE-GGA", "state": "optimized geometry", "cell": [[-7.8055, 7.8055, 7.8055], [7.8055, -7.8055, 7.8055], [7.8055, 7.8055, -7.8055]], "species": ["Ho", "Ho", "Ho", "Ho", "Ho", "Ho", "Ho", "Ho", "Ho", "Ho", "Ho", "Ho", "Ho", "Ho", "Ho", "Ho", "Ho", "Ho", "Ho", "Ho", "Ho", "Ho", "Ho", "Ho", "Ho", "Ho", "Ho", "Ho", "Ho", "Ho", "Ho", "Ho", "Ho", "Ho", "Ho", "Ho", "Ho", "Ho", "Ho", "Ho", "Ho", "Ho", "Ho", "Ho", "Ho", "Ho", "Ho", "Ho", "H", "H", "H", "H", "H", "H", "H", "H", "H", "H", "H", "H", "H", "H", "H", "H", "H", "H", "H", "H", "Pb", "Pb", "Pb", "Pb", "Pb", "Pb", "Pb", "Pb", "Pb", "Pb", "Pb", "Pb"], "fractional_positions": [[0.0099, 0.2034, 0.1070], [0.0099, 0.3065, 0.9029], [0.0964, 0.7034, 0.6935], [0.0964, 0.8930, 0.4029], [0.0971, 0.6070, 0.4036], [0.0971, 0.9901, 0.6935], [0.1070, 0.0099, 0.2034], [0.1070, 0.5971, 0.9036], [0.1935, 0.2034, 0.5964], [0.1935, 0.4901, 0.5971], [0.2034, 0.1070, 0.0099], [0.2034, 0.5964, 0.1935], [0.2966, 0.3065, 0.9036], [0.2966, 0.4901, 0.3930], [0.3065, 0.9029, 0.0099], [0.3065, 0.9036, 0.2966], [0.3930, 0.2966, 0.4901], [0.3930, 0.5964, 0.9029], [0.4029, 0.0964, 0.8930], [0.4029, 0.8065, 0.5099], [0.4036, 0.0971, 0.6070], [0.4036, 0.8065, 0.7966], [0.4901, 0.3930, 0.2966], [0.4901, 0.5971, 0.1935], [0.5099, 0.4029, 0.8065], [0.5099, 0.6070, 0.7034], [0.5964, 0.1935, 0.2034], [0.5964, 0.9029, 0.3930], [0.5971, 0.1935, 0.4901], [0.5971, 0.9036, 0.1070], [0.6070, 0.4036, 0.0971], [0.6070, 0.7034, 0.5099], [0.6935, 0.0964, 0.7034], [0.6935, 0.0971, 0.9901], [0.7034, 0.5099, 0.6070], [0.7034, 0.6935, 0.0964], [0.7966, 0.4036, 0.8065], [0.7966, 0.8930, 0.9901], [0.8065, 0.5099, 0.4029], [0.8065, 0.7966, 0.4036], [0.8930, 0.4029, 0.0964], [0.8930, 0.9901, 0.7966], [0.9029, 0.0099, 0.3065], [0.9029, 0.3930, 0.5964], [0.9036, 0.1070, 0.5971], [0.9036, 0.2966, 0.3065], [0.9901, 0.6935, 0.0971], [0.9901, 0.7966, 0.8930], [0.0000, 0.0000, 0.0000], [0.0000, 0.0000, 0.5000], [0.0000, 0.5000, 0.0000], [0.0000, 0.5000, 0.5000], [0.1250, 0.7500, 0.8750], [0.1250, 0.8750, 0.2500], [0.2500, 0.1250, 0.8750], [0.2500, 0.6250, 0.3750], [0.3750, 0.2500, 0.6250], [0.3750, 0.6250, 0.7500], [0.5000, 0.0000, 0.0000], [0.5000, 0.0000, 0.5000], [0.5000, 0.5000, 0.0000], [0.5000, 0.5000, 0.5000], [0.6250, 0.3750, 0.2500], [0.6250, 0.7500, 0.3750], [0.7500, 0.3750, 0.6250], [0.7500, 0.8750, 0.1250], [0.8750, 0.1250, 0.7500], [0.8750, 0.2500, 0.1250], [0.1250, 0.2500, 0.3750], [0.1250, 0.3750, 0.7500], [0.2500, 0.3750, 0.1250], [0.2500, 0.8750, 0.6250], [0.3750, 0.1250, 0.2500], [0.3750, 0.7500, 0.1250], [0.6250, 0.2500, 0.8750], [0.6250, 0.8750, 0.7500], [0.7500, 0.1250, 0.3750], [0.7500, 0.6250, 0.8750], [0.8750, 0.6250, 0.2500], [0.8750, 0.7500, 0.6250]], "crystal_system": "cubic", "energy_ev_per_atom": -4.3929}